Record 1
# ReMo2Os

An optimized crystal structure of ReMo2Os (PBE-GGA, Alexandria via LeMat-Bulk).

Geometry as POSCAR:
```
ReMo2Os
1.0
5.1731 -0.0010 -0.0057
2.3174 4.6250 0.0057
-3.2733 -3.0766 2.5654
Mo Os Re
2 1 1
direct
0.9972 0.9972 0.0000 Mo
0.7610 0.2610 0.5000 Mo
0.5038 0.5038 0.0000 Os
0.2380 0.7380 0.5000 Re
```

Values from the calculation:
- VASP energy (eV per atom) = -11.1330
- SG = Imm2 (44)
- N(E_F) (states/eV/f.u.) = 3.734
- formation enthalpy at 0 K (eV/atom) = 0.20


Record 2
# Th3Sb3Ru2

An optimized crystal structure of Th3Sb3Ru2 (PBE-GGA, Alexandria via LeMat-Bulk).

Geometry as POSCAR:
```
Th3Sb3Ru2
1.0
-3.7666 -1.8260 2.0062
4.6837 0.3166 3.7117
-4.4674 14.0885 4.4356
Th Sb Ru
6 6 4
direct
0.9216 0.8432 0.3914 Th
0.0784 0.1568 0.8914 Th
0.9216 0.8432 0.1086 Th
0.0784 0.1568 0.6086 Th
0.6387 0.2774 0.2500 Th
0.3613 0.7226 0.7500 Th
0.6362 0.2724 0.4664 Sb
0.3638 0.7276 0.9664 Sb
0.6362 0.2724 0.0336 Sb
0.3638 0.7276 0.5336 Sb
0.3453 0.6905 0.2500 Sb
0.6547 0.3095 0.7500 Sb
0.8114 0.6229 0.8908 Ru
0.1886 0.3771 0.3908 Ru
0.8114 0.6229 0.6092 Ru
0.1886 0.3771 0.1092 Ru
```

Values from the calculation:
- VASP energy (eV per atom) = -7.3307
- SG = Cmcm (63)
- N(E_F) (states/eV/f.u.) = 5.689
- raw formation energy (eV per atom) = -0.683


Record 3
# LiCa2ZnCd6

An optimized crystal structure of LiCa2ZnCd6 (PBE-GGA, Alexandria via LeMat-Bulk).

Geometry as POSCAR:
```
LiCa2ZnCd6
1.0
7.1135 -0.0102 -0.0066
-0.0094 7.1129 -0.0070
3.5493 3.5482 4.9975
Li Ca Zn Cd
1 2 1 6
direct
0.5000 0.5000 0.0000 Li
0.2117 0.7883 0.4998 Ca
0.7883 0.2117 0.5002 Ca
0.0000 0.0000 0.0000 Zn
0.2570 0.7429 0.9999 Cd
0.7132 0.7130 0.0625 Cd
0.2927 0.2926 0.4888 Cd
0.7430 0.2571 0.0001 Cd
0.2868 0.2870 0.9375 Cd
0.7073 0.7074 0.5112 Cd
```

Values from the calculation:
- VASP energy (eV per atom) = -1.3484
- SG = C2/m (12)
- N(E_F) (states/eV/f.u.) = 3.510
- formation enthalpy at 0 K (eV/atom) = -0.08


- N(E_F) of number 2 (Th3Sb3Ru2)?
  5.689 states/eV/f.u.


What did the first record say?
# ReMo2Os

An optimized crystal structure of ReMo2Os (PBE-GGA, Alexandria via LeMat-Bulk).

Geometry as POSCAR:
```
ReMo2Os
1.0
5.1731 -0.0010 -0.0057
2.3174 4.6250 0.0057
-3.2733 -3.0766 2.5654
Mo Os Re
2 1 1
direct
0.9972 0.9972 0.0000 Mo
0.7610 0.2610 0.5000 Mo
0.5038 0.5038 0.0000 Os
0.2380 0.7380 0.5000 Re
```

Values from the calculation:
- VASP energy (eV per atom) = -11.1330
- SG = Imm2 (44)
- N(E_F) (states/eV/f.u.) = 3.734
- formation enthalpy at 0 K (eV/atom) = 0.20


- What is the VASP energy in the second record?
  -7.3307 eV per atom